The following is a PBE-GGA calculation of K2HgHPd after structural relaxation, from the Alexandria database.

Calculated values
ρ (g/cm³): 4.994
Symmetry: P4/mmm (123)
DFT total energy (eV per atom): -2.3679

Cell: 6.051 6.051 3.507 Å, 90.00 90.00 90.00°
Atoms (fractional coordinates):
1 H 0.000 0.000 0.000
2 K 0.000 0.500 0.000
3 K 0.500 0.000 0.000
4 Hg 0.500 0.500 0.500
5 Pd 0.000 0.000 0.500